(1)
SmErSb2 after structural relaxation. Source: OQMD via LeMat-Bulk, functional PBE.

It has space group P4/mmm (No. 123), with a = 4.408 Å, b = 4.408 Å, c = 6.235 Å, α = 90.00°, β = 90.00° and γ = 90.00°. Symmetry generates all atoms from Sm at (0.000, 0.000, 0.000), Er at (0.500, 0.500, 0.500), Sb at (0.000, 0.000, 0.500) and Sb at (0.500, 0.500, 0.000).

The electronic total energy comes out at -5.51 eV per atom.

(2)
SmErZr2Sb2 after structural relaxation. Source: OQMD via LeMat-Bulk, functional PBE.

It has space group I4mm (No. 107), with a = 4.289 Å, b = 4.289 Å, c = 16.733 Å, α = 90.00°, β = 90.00° and γ = 90.00°. Symmetry generates all atoms from Sm at (0.000, 0.000, 0.000), Er at (0.000, 0.000, 0.354), Zr at (0.000, 0.500, 0.179), Sb at (0.000, 0.000, 0.547) and Sb at (0.000, 0.000, 0.811).

The electronic total energy comes out at -6.57 eV per atom.

(3)
ErSnSb after structural relaxation. Source: OQMD via LeMat-Bulk, functional PBE.

It has space group F-43m (No. 216), with a = 7.266 Å, b = 7.266 Å, c = 7.266 Å, α = 90.00°, β = 90.00° and γ = 90.00°. Symmetry generates all atoms from Er at (0.000, 0.000, 0.000), Sn at (0.000, 0.000, 0.500) and Sb at (0.250, 0.250, 0.250).

For the energy above the most stable polymorph in this dataset, the calculation gives 0.0 meV per atom.

(4)
SrErSb after structural relaxation. Source: OQMD via LeMat-Bulk, functional PBE.

It has space group F-43m (No. 216), with a = 7.562 Å, b = 7.562 Å, c = 7.562 Å, α = 90.00°, β = 90.00° and γ = 90.00°. Symmetry generates all atoms from Sr at (0.000, 0.000, 0.000), Er at (0.250, 0.250, 0.750) and Sb at (0.000, 0.000, 0.500).

The electronic total energy comes out at -3.46 eV per atom.

(5)
TbErSb after structural relaxation. Source: OQMD via LeMat-Bulk, functional PBE.

It has space group F-43m (No. 216), with a = 7.144 Å, b = 7.144 Å, c = 7.144 Å, α = 90.00°, β = 90.00° and γ = 90.00°. Symmetry generates all atoms from Tb at (0.000, 0.000, 0.000), Er at (0.000, 0.000, 0.500) and Sb at (0.250, 0.250, 0.750).

The electronic total energy comes out at -4.95 eV per atom.

(6)
TbEr3Sb4 after structural relaxation. Source: OQMD via LeMat-Bulk, functional PBE.

It has space group Pm-3m (No. 221), with a = 6.167 Å, b = 6.167 Å, c = 6.167 Å, α = 90.00°, β = 90.00° and γ = 90.00°. Symmetry generates all atoms from Tb at (0.000, 0.000, 0.000), Er at (0.000, 0.500, 0.500), Sb at (0.000, 0.000, 0.500) and Sb at (0.500, 0.500, 0.500).

The electronic total energy comes out at -5.46 eV per atom.

(7)
Tb2ErSb3 after structural relaxation. Source: OQMD via LeMat-Bulk, functional PBE.

It has space group P-3m1 (No. 164), with a = 4.3806 Å, b = 4.3806 Å, c = 10.7243 Å, α = 90.00°, β = 90.00° and γ = 120.00°. Symmetry generates all atoms from Tb at (0.3333, 0.6667, 0.1679), Er at (0.0000, 0.0000, 0.5000), Sb at (0.0000, 0.0000, 0.0000) and Sb at (0.3333, 0.6667, 0.6639).

The electronic total energy comes out at -5.50 eV per atom.

(8)
TbEr2Sb3 after structural relaxation. Source: OQMD via LeMat-Bulk, functional PBE.

It has space group P-3m1 (No. 164), with a = 4.3635 Å, b = 4.3635 Å, c = 10.6836 Å, α = 90.00°, β = 90.00° and γ = 120.00°. Symmetry generates all atoms from Tb at (0.0000, 0.0000, 0.0000), Er at (0.3333, 0.6667, 0.6654), Sb at (0.0000, 0.0000, 0.5000) and Sb at (0.3333, 0.6667, 0.1694).

The electronic total energy comes out at -5.47 eV per atom.

(9)
Er6TcSb2 after structural relaxation. Source: OQMD via LeMat-Bulk, functional PBE.

It has space group P-62m (No. 189), with a = 8.1047 Å, b = 8.1047 Å, c = 4.2324 Å, α = 90.00°, β = 90.00° and γ = 120.00°. Symmetry generates all atoms from Er at (0.0000, 0.3949, 0.0000), Er at (0.0000, 0.7636, 0.5000), Tc at (0.0000, 0.0000, 0.0000) and Sb at (0.3333, 0.6667, 0.5000).

The electronic total energy comes out at -5.73 eV per atom.

(10)
ErTcSb after structural relaxation. Source: OQMD via LeMat-Bulk, functional PBE.

It has space group F-43m (No. 216), with a = 6.619 Å, b = 6.619 Å, c = 6.619 Å, α = 90.00°, β = 90.00° and γ = 90.00°. Symmetry generates all atoms from Er at (0.000, 0.000, 0.000), Tc at (0.000, 0.000, 0.500) and Sb at (0.250, 0.250, 0.250).

The electronic total energy comes out at -6.27 eV per atom.